No. 1
First-principles (PBE) data for an optimized crystal structure of Y2TlCu, as listed in Alexandria.

## Properties
As for the size of the total moment: 0.25 μB per atom. As for the formation energy: -1.62 kcal/mol of atoms.

The structure in CIF format:
```
data_Y2TlCu
_symmetry_space_group_name_H-M 'P 4 m m'
_symmetry_Int_Tables_number 99
_cell_length_a 3.785
_cell_length_b 3.785
_cell_length_c 7.098
_cell_angle_alpha 90.00
_cell_angle_beta 90.00
_cell_angle_gamma 90.00
loop_
_symmetry_equiv_pos_as_xyz
'x,y,z'
'-y,x,z'
'-x,-y,z'
'y,-x,z'
'-x,y,z'
'y,x,z'
'x,-y,z'
'-y,-x,z'
loop_
_atom_site_label
_atom_site_type_symbol
_atom_site_fract_x
_atom_site_fract_y
_atom_site_fract_z
Y1 Y 0.000 0.000 0.000
Y2 Y 0.500 0.500 0.318
Tl1 Tl 0.500 0.500 0.750
Cu1 Cu 0.000 0.000 0.516
```

***

No. 2
First-principles (PBE) data for an optimized crystal structure of Y7Tl2Cu2, as listed in Alexandria.

## Properties
As for the size of the total moment: 0.00 μB per atom. As for the formation energy: -1.22 kcal/mol of atoms.

The structure in CIF format:
```
data_Y7Tl2Cu2
_symmetry_space_group_name_H-M 'C m m m'
_symmetry_Int_Tables_number 65
_symmetry_space_group_name_Hall '-C 2 2'
_cell_length_a 8.049
_cell_length_b 11.304
_cell_length_c 7.059
_cell_angle_alpha 90.00
_cell_angle_beta 90.00
_cell_angle_gamma 90.00
loop_
_atom_site_label
_atom_site_type_symbol
_atom_site_fract_x
_atom_site_fract_y
_atom_site_fract_z
Y1 Y 0.000 0.000 0.000
Y2 Y 0.000 0.500 0.238
Y3 Y 0.250 0.250 0.252
Tl1 Tl 0.181 0.000 0.500
Cu1 Cu 0.000 0.296 0.000
```

***

No. 3
First-principles (PBE) data for an optimized crystal structure of YTl2Cu, as listed in Alexandria.

## Properties
As for the size of the total moment: 0.00 μB per atom. As for the formation energy: 1.20 kcal/mol of atoms.

The structure in CIF format:
```
data_YTl2Cu
_symmetry_space_group_name_H-M 'R 3 m'
_symmetry_Int_Tables_number 160
_symmetry_space_group_name_Hall 'R 3 -2"'
_cell_length_a 3.6653
_cell_length_b 3.6653
_cell_length_c 27.3148
_cell_angle_alpha 90.00
_cell_angle_beta 90.00
_cell_angle_gamma 120.00
loop_
_atom_site_label
_atom_site_type_symbol
_atom_site_fract_x
_atom_site_fract_y
_atom_site_fract_z
Y1 Y 0.0000 0.0000 0.0000
Tl1 Tl 0.0000 0.0000 0.5275
Tl2 Tl 0.0000 0.0000 0.7633
Cu1 Cu 0.0000 0.0000 0.2646
```

***

No. 4
First-principles (PBE) data for an optimized crystal structure of YTl2Cu, as listed in Alexandria.

## Properties
As for the size of the total moment: 0.00 μB per atom. As for the formation energy: -0.11 kcal/mol of atoms.

The structure in CIF format:
```
data_YTl2Cu
_symmetry_space_group_name_H-M 'F -4 3 m'
_symmetry_Int_Tables_number 216
_symmetry_space_group_name_Hall 'F -4 2 3'
_cell_length_a 7.253
_cell_length_b 7.253
_cell_length_c 7.253
_cell_angle_alpha 90.00
_cell_angle_beta 90.00
_cell_angle_gamma 90.00
loop_
_atom_site_label
_atom_site_type_symbol
_atom_site_fract_x
_atom_site_fract_y
_atom_site_fract_z
Y1 Y 0.000 0.000 0.000
Tl1 Tl 0.000 0.000 0.500
Tl2 Tl 0.250 0.250 0.750
Cu1 Cu 0.250 0.250 0.250
```

***

No. 5
First-principles (PBE) data for an optimized crystal structure of Y4TlCu, as listed in Alexandria.

## Properties
As for the size of the total moment: 0.09 μB per atom. As for the formation energy: -4.74 kcal/mol of atoms.

The structure in CIF format:
```
data_Y4TlCu
_symmetry_space_group_name_H-M 'P n m a'
_symmetry_Int_Tables_number 62
_cell_length_a 8.571
_cell_length_b 3.734
_cell_length_c 20.585
_cell_angle_alpha 90.00
_cell_angle_beta 90.00
_cell_angle_gamma 90.00
loop_
_symmetry_equiv_pos_as_xyz
'x,y,z'
'-x,-y,-z'
'-x+1/2,-y,z+1/2'
'x+1/2,y,-z+1/2'
'x+1/2,-y+1/2,-z+1/2'
'-x+1/2,y+1/2,z+1/2'
'-x,y+1/2,-z'
'x,-y+1/2,z'
loop_
_atom_site_label
_atom_site_type_symbol
_atom_site_fract_x
_atom_site_fract_y
_atom_site_fract_z
Y1 Y 0.024 0.250 0.069
Y2 Y 0.050 0.750 0.216
Y3 Y 0.126 0.750 0.655
Y4 Y 0.147 0.750 0.449
Tl1 Tl 0.246 0.250 0.318
Cu1 Cu 0.222 0.250 0.554
```

***

No. 6
First-principles (PBE) data for an optimized crystal structure of YTl2Cu, as listed in Alexandria.

## Properties
As for the size of the total moment: 0.00 μB per atom. As for the formation energy: -0.69 kcal/mol of atoms.

The structure in CIF format:
```
data_YTl2Cu
_symmetry_space_group_name_H-M 'I -4 m 2'
_symmetry_Int_Tables_number 119
_symmetry_space_group_name_Hall 'I -4 -2'
_cell_length_a 4.567
_cell_length_b 4.567
_cell_length_c 9.157
_cell_angle_alpha 90.00
_cell_angle_beta 90.00
_cell_angle_gamma 90.00
loop_
_atom_site_label
_atom_site_type_symbol
_atom_site_fract_x
_atom_site_fract_y
_atom_site_fract_z
Y1 Y 0.000 0.000 0.000
Tl1 Tl 0.000 0.000 0.500
Tl2 Tl 0.000 0.500 0.250
Cu1 Cu 0.000 0.500 0.750
```